The following is a GGA-PBE calculation of a relaxed structure of Ga2BiAsO6, from Alexandria via LeMat-Bulk.

Values from the calculation:
**Final energy**: -0.438 Ry/atom

Cell and atoms, written as CIF:
```
data_Ga2BiAsO6
_chemical_formula_sum 'Ga8 Bi4 As4 O24'
_space_group_name_H-M_alt 'C 1 2/c 1'
_space_group_IT_number 15
_cell_length_a 10.5232
_cell_length_b 9.8862
_cell_length_c 5.7046
_cell_angle_alpha 90.00
_cell_angle_beta 103.84
_cell_angle_gamma 90.00
loop_
_space_group_symop_operation_xyz
'x,y,z'
'-x,-y,-z'
'-x,y,-z+1/2'
'x,-y,z+1/2'
'x+1/2,y+1/2,z'
'-x+1/2,-y+1/2,-z'
'-x+1/2,y+1/2,-z+1/2'
'x+1/2,-y+1/2,z+1/2'
loop_
_atom_site_label
_atom_site_fract_x
_atom_site_fract_y
_atom_site_fract_z
Ga1 0.2195 0.1013 0.2991
Bi1 0.0000 0.1680 0.7500
As1 0.0000 0.3613 0.2500
O1 0.1097 0.2447 0.1442
O2 0.1128 0.3340 0.6039
O3 0.1587 0.0185 0.5419
```

=====

The following is a GGA-PBE calculation of a relaxed structure of GaBiAs2O8, from Alexandria via LeMat-Bulk.

Values from the calculation:
**Final energy**: -0.430 Ry/atom

Cell and atoms, written as CIF:
```
data_GaBiAs2O8
_chemical_formula_sum 'Ga2 Bi2 As4 O16'
_space_group_name_H-M_alt 'I -4 m 2'
_space_group_IT_number 119
_space_group_name_Hall 'I -4 -2'
_cell_length_a 7.1528
_cell_length_b 7.1528
_cell_length_c 6.2003
_cell_angle_alpha 90.00
_cell_angle_beta 90.00
_cell_angle_gamma 90.00
loop_
_atom_site_label
_atom_site_fract_x
_atom_site_fract_y
_atom_site_fract_z
Ga1 0.0000 0.0000 0.0000
Bi1 0.0000 0.5000 0.7500
As1 0.0000 0.0000 0.5000
As2 0.0000 0.5000 0.2500
O1 0.0000 0.1717 0.6965
O2 0.0000 0.3110 0.0753
```

=====

The following is a GGA-PBE calculation of a relaxed structure of GaBi2AsOs, from Alexandria via LeMat-Bulk.

Values from the calculation:
**Energy relative to the elements**: 506.0 meV/atom

Cell and atoms, written as CIF:
```
data_GaBi2AsOs
_chemical_formula_sum 'Ga1 Bi2 As1 Os1'
_space_group_name_H-M_alt 'P 4/m m m'
_space_group_IT_number 123
_space_group_name_Hall '-P 4 2'
_cell_length_a 5.2890
_cell_length_b 5.2890
_cell_length_c 4.7646
_cell_angle_alpha 90.00
_cell_angle_beta 90.00
_cell_angle_gamma 90.00
loop_
_atom_site_label
_atom_site_fract_x
_atom_site_fract_y
_atom_site_fract_z
Ga1 0.0000 0.0000 0.0000
Bi1 0.0000 0.5000 0.5000
As1 0.5000 0.5000 0.0000
Os1 0.0000 0.0000 0.5000
```

=====

The following is a GGA-PBE calculation of a relaxed structure of GaBi2AsS, from Alexandria via LeMat-Bulk.

Values from the calculation:
**Final energy**: -0.251 Ry/atom

Cell and atoms, written as CIF:
```
data_GaBi2AsS
_chemical_formula_sum 'Ga1 Bi2 As1 S1'
_space_group_name_H-M_alt 'P 4/m m m'
_space_group_IT_number 123
_space_group_name_Hall '-P 4 2'
_cell_length_a 5.4304
_cell_length_b 5.4304
_cell_length_c 4.8854
_cell_angle_alpha 90.00
_cell_angle_beta 90.00
_cell_angle_gamma 90.00
loop_
_atom_site_label
_atom_site_fract_x
_atom_site_fract_y
_atom_site_fract_z
Ga1 0.0000 0.0000 0.0000
Bi1 0.0000 0.5000 0.5000
As1 0.5000 0.5000 0.0000
S1 0.5000 0.5000 0.5000
```

=====

The following is a GGA-PBE calculation of a relaxed structure of ScGaBiAs2, from Alexandria via LeMat-Bulk.

Values from the calculation:
**Energy relative to the elements**: 274.2 meV/atom
**Polymorph energy (0 for the lowest one)**: 67 meV per atom

Cell and atoms, written as CIF:
```
data_ScGaBiAs2
_chemical_formula_sum 'Sc1 Ga1 Bi1 As2'
_space_group_name_H-M_alt 'P 4/m m m'
_space_group_IT_number 123
_space_group_name_Hall '-P 4 2'
_cell_length_a 4.9031
_cell_length_b 4.9031
_cell_length_c 5.2536
_cell_angle_alpha 90.00
_cell_angle_beta 90.00
_cell_angle_gamma 90.00
loop_
_atom_site_label
_atom_site_fract_x
_atom_site_fract_y
_atom_site_fract_z
Sc1 0.0000 0.0000 0.0000
Ga1 0.0000 0.0000 0.5000
Bi1 0.5000 0.5000 0.0000
As1 0.0000 0.5000 0.5000
```

=====

The following is a GGA-PBE calculation of a relaxed structure of ScGaBiAs2, from Alexandria via LeMat-Bulk.

Values from the calculation:
**Energy relative to the elements**: 207.2 meV/atom
**Polymorph energy (0 for the lowest one)**: 0 meV per atom

Cell and atoms, written as CIF:
```
data_ScGaBiAs2
_chemical_formula_sum 'Sc1 Ga1 Bi1 As2'
_space_group_name_H-M_alt 'P 4/m m m'
_space_group_IT_number 123
_space_group_name_Hall '-P 4 2'
_cell_length_a 5.1341
_cell_length_b 5.1341
_cell_length_c 5.1934
_cell_angle_alpha 90.00
_cell_angle_beta 90.00
_cell_angle_gamma 90.00
loop_
_atom_site_label
_atom_site_fract_x
_atom_site_fract_y
_atom_site_fract_z
Sc1 0.0000 0.0000 0.0000
Ga1 0.0000 0.0000 0.5000
Bi1 0.5000 0.5000 0.5000
As1 0.0000 0.5000 0.0000
```

=====

The following is a GGA-PBE calculation of a relaxed structure of TaGaBi2As, from Alexandria via LeMat-Bulk.

Values from the calculation:
**Energy relative to the elements**: 1167.4 meV/atom

Cell and atoms, written as CIF:
```
data_TaGaBi2As
_chemical_formula_sum 'Ta1 Ga1 Bi2 As1'
_space_group_name_H-M_alt 'P 4/m m m'
_space_group_IT_number 123
_space_group_name_Hall '-P 4 2'
_cell_length_a 5.5463
_cell_length_b 5.5463
_cell_length_c 4.7384
_cell_angle_alpha 90.00
_cell_angle_beta 90.00
_cell_angle_gamma 90.00
loop_
_atom_site_label
_atom_site_fract_x
_atom_site_fract_y
_atom_site_fract_z
Ta1 0.0000 0.0000 0.0000
Ga1 0.5000 0.5000 0.0000
Bi1 0.0000 0.5000 0.5000
As1 0.5000 0.5000 0.5000
```

=====

The following is a GGA-PBE calculation of a relaxed structure of ZnGa2BiAs, from Alexandria via LeMat-Bulk.

Values from the calculation:
**Energy relative to the elements**: 379.2 meV/atom

Cell and atoms, written as CIF:
```
data_ZnGa2BiAs
_chemical_formula_sum 'Zn1 Ga2 Bi1 As1'
_space_group_name_H-M_alt 'P 4/m m m'
_space_group_IT_number 123
_space_group_name_Hall '-P 4 2'
_cell_length_a 4.7282
_cell_length_b 4.7282
_cell_length_c 5.5823
_cell_angle_alpha 90.00
_cell_angle_beta 90.00
_cell_angle_gamma 90.00
loop_
_atom_site_label
_atom_site_fract_x
_atom_site_fract_y
_atom_site_fract_z
Zn1 0.0000 0.0000 0.0000
Ga1 0.0000 0.5000 0.0000
Bi1 0.0000 0.0000 0.5000
As1 0.5000 0.5000 0.5000
```